a) DFT (PBE) results for a relaxed NaBSe4 crystal.

Summary:
Its space-group type is C2/c, No. 15.

Geometry as POSCAR:
```
NaBSe4
1.0
3.176 -9.888 0.000
3.176 9.888 0.000
-2.666 0.000 6.455
Na B Se
2 2 8
direct
0.198 0.802 0.750
0.802 0.198 0.250
0.357 0.643 0.250
0.643 0.357 0.750
0.127 0.501 0.967
0.269 0.472 0.445
0.472 0.269 0.945
0.499 0.873 0.533
0.501 0.127 0.467
0.528 0.731 0.055
0.731 0.528 0.555
0.873 0.499 0.033
```


b) DFT (PBE) results for a relaxed NaBSe4 crystal.

Summary:
Its space-group type is C2/m, No. 12.

Geometry as POSCAR:
```
NaBSe4
1.0
7.601 -6.073 0.000
7.601 6.073 0.000
-1.219 0.000 4.171
Na B Se
2 2 8
direct
0.218 0.218 0.463
0.782 0.782 0.537
0.000 0.500 0.000
0.500 0.000 0.000
0.009 0.689 0.102
0.311 0.991 0.898
0.340 0.521 0.682
0.479 0.660 0.318
0.521 0.340 0.682
0.660 0.479 0.318
0.689 0.009 0.102
0.991 0.311 0.898
```


So which one is most stable? That would be b), about 50 meV per atom below the next structure.


a) DFT (PBE) results for a relaxed Na3B2Se4 crystal.

Summary:
Its space-group type is C2/c, No. 15.

Geometry as POSCAR:
```
Na3B2Se4
1.0
7.259 -4.660 0.000
7.259 4.660 0.000
-0.123 0.000 5.987
Na B Se
6 4 8
direct
0.071 0.929 0.750
0.242 0.501 0.479
0.499 0.758 0.021
0.501 0.242 0.979
0.758 0.499 0.521
0.929 0.071 0.250
0.016 0.590 0.997
0.410 0.984 0.503
0.590 0.016 0.497
0.984 0.410 0.003
0.178 0.183 0.502
0.183 0.178 0.002
0.240 0.595 0.987
0.405 0.760 0.513
0.595 0.240 0.487
0.760 0.405 0.013
0.817 0.822 0.998
0.822 0.817 0.498
```


b) DFT (PBE) results for a relaxed Na3B2Se4 crystal.

Summary:
Its space-group type is C2/c, No. 15.

Geometry as POSCAR:
```
Na3B2Se4
1.0
6.291 -5.236 0.000
6.291 5.236 0.000
-0.014 0.000 6.038
Na B Se
6 4 8
direct
0.122 0.878 0.750
0.260 0.519 0.457
0.481 0.740 0.043
0.519 0.260 0.957
0.740 0.481 0.543
0.878 0.122 0.250
0.166 0.311 0.912
0.311 0.166 0.412
0.689 0.834 0.588
0.834 0.689 0.088
0.104 0.233 0.608
0.215 0.531 0.967
0.233 0.104 0.108
0.469 0.785 0.533
0.531 0.215 0.467
0.767 0.896 0.892
0.785 0.469 0.033
0.896 0.767 0.392
```


So which one is most stable? That would be a), about 57 meV per atom below the next structure.